(a)
Material: Na2SrSn6
Method: DFT, PBE-GGA
State: optimized geometry

abc: 8.5697 9.3646 6.3508
angles: 90.00 97.70 90.00
With the nearest neighbours (Å) after each atom.
Space group C2/m (No. 12)
Inequivalent atoms, fractional coordinates:
1 Na 0.1566 0.0000 0.1573 x4  1 Na 3.12, 1 Sr 3.42, 6 Sn 3.47-3.48
2 Sr 0.0000 0.5000 0.5000 x2  2 Na 3.42, 12 Sn 3.54-3.55
3 Sn 0.0000 0.3314 0.0000 x4  5 Sn 3.11-3.32, 2 Na 3.47
4 Sn 0.1660 0.1658 0.6688 x8  5 Sn 3.11-3.33, 1 Na 3.48

Computed properties:
mass density	5.6	g/cm³

---

(b)
Material: Na2SrSn6
Method: DFT, PBE-GGA
State: optimized geometry

abc: 15.2102 9.8054 3.4468
angles: 90.00 90.31 90.00
With the nearest neighbours (Å) after each atom.
Space group C2/m (No. 12)
Inequivalent atoms, fractional coordinates:
1 Na 0.1667 0.0000 0.0005 x4  12 Sn 3.43-3.71, 2 Na 3.45
2 Sr 0.0000 0.5000 0.0000 x2  2 Sr 3.45, 12 Sn 3.48-3.76
3 Sn 0.0000 0.1593 0.5000 x4  5 Sn 3.09-3.45, 4 Na 3.43-3.45
4 Sn 0.1688 0.3350 0.4997 x8  3 Sn 2.98-3.24

Computed properties:
mass density	5.5	g/cm³

---

On energetic grounds, (a) is preferred over the next structure by 2.4 kJ/mol of atoms.

---

(a)
Material: NaSrSn3
Method: DFT, PBE-GGA
State: optimized geometry

abc: 5.4699 5.4699 5.4699
angles: 90.00 90.00 90.00
With the nearest neighbours (Å) after each atom.
Space group Pm-3m (No. 221)
Inequivalent atoms, fractional coordinates:
1 Na 0.0000 0.0000 0.0000 x1  6 Sn 2.73
2 Sr 0.5000 0.5000 0.5000 x1  12 Sn 3.87
3 Sn 0.0000 0.0000 0.5000 x3  2 Na 2.73

Computed properties:
mass density	4.7	g/cm³

---

(b)
Material: NaSrSn3
Method: DFT, PBE-GGA
State: optimized geometry

abc: 5.0364 30.2690 4.5559
angles: 90.00 90.00 90.00
With the nearest neighbours (Å) after each atom.
Space group Cmcm (No. 63)
Inequivalent atoms, fractional coordinates:
1 Na 0.0000 0.0790 0.2500 x4  10 Sn 3.65-4.05
2 Sr 0.0000 0.2029 0.7500 x4  7 Sn 3.42-3.49
3 Sn 0.0000 0.3160 0.7500 x4  2 Sn 2.93
4 Sn 0.0000 0.3769 0.2500 x4  3 Sn 2.89-2.93
5 Sn 0.0000 0.4725 0.2500 x4  3 Sn 2.82-2.89

Computed properties:
mass density	4.5	g/cm³

---

(c)
Material: NaSrSn3
Method: DFT, PBE-GGA
State: optimized geometry

abc: 6.0868 6.0868 6.0868
angles: 90.00 90.00 90.00
With the nearest neighbours (Å) after each atom.
Space group Pm-3m (No. 221)
Inequivalent atoms, fractional coordinates:
1 Na 0.0000 0.0000 0.0000 x1  12 Sn 4.30
2 Sr 0.5000 0.5000 0.5000 x1  6 Sn 3.04
3 Sn 0.0000 0.5000 0.5000 x3  2 Sr 3.04

Computed properties:
mass density	3.4	g/cm³

---

On energetic grounds, (b) is preferred over the next structure by 36.6 kJ/mol of atoms.

---

(a)
Material: NaSr4Sn2
Method: DFT, PBE-GGA
State: optimized geometry

abc: 5.7490 5.7490 27.9020
angles: 90.00 90.00 120.00
With the nearest neighbours (Å) after each atom.
Space group R-3m (No. 166, hexagonal axes)
Inequivalent atoms, fractional coordinates:
1 Na 0.0000 0.0000 0.0000 x3  8 Sr 3.58-3.61, 6 Sn 4.00
2 Sr 0.0000 0.0000 0.1295 x6  4 Sn 3.46-3.60, 1 Na 3.61
3 Sr 0.0000 0.0000 0.3810 x6  4 Sn 3.44-3.56, 3 Na 3.58
4 Sn 0.0000 0.0000 0.2534 x6  8 Sr 3.44-3.60

Computed properties:
mass density	3.8	g/cm³

---

(b)
Material: NaSr4Sn2
Method: DFT, PBE-GGA
State: optimized geometry

abc: 9.0387 7.5873 9.5846
angles: 90.00 112.91 90.00
With the nearest neighbours (Å) after each atom.
Space group P2_1/m (No. 11)
Inequivalent atoms, fractional coordinates:
1 Na 0.0232 0.2500 0.1810 x2  1 Sn 3.29
2 Sr 0.2487 0.5007 0.5685 x4  4 Sn 3.41-3.46, 2 Sr 3.78-3.80
3 Sr 0.3186 0.7500 0.2466 x2  2 Sn 3.32-3.54
4 Sr 0.3673 0.2500 0.0139 x2  2 Sn 3.25-3.27
5 Sn 0.0306 0.2500 0.7148 x2  6 Sr 3.27-3.46
6 Sn 0.4153 0.2500 0.3681 x2  6 Sr 3.25-3.54, 1 Na 3.29

Computed properties:
mass density	3.4	g/cm³

---

On energetic grounds, (a) is preferred over the next structure by 13.3 kJ/mol of atoms.